(1)
Here is a relaxed FePtS2Cl crystal from Alexandria via LeMat-Bulk. Energies are from GGA-PBE.

Summary:
- Excess energy over the best structure of this formula in the dataset: 65 meV per atom
- Calculated volume: 18.041 A^3/atom

The structure in extended XYZ format:
```
5
Lattice="4.570 0.000 0.000 0.000 4.570 0.000 0.000 0.000 4.319" Properties=species:S:1:pos:R:3 pbc="T T T"
Fe 0.000 0.000 0.000
Pt 2.285 2.285 2.160
S 0.000 2.285 0.000
S 2.285 0.000 0.000
Cl 0.000 0.000 2.160
```



(2)
Here is a relaxed FePt2SCl crystal from Alexandria via LeMat-Bulk. Energies are from GGA-PBE.

Summary:
- Calculated volume: 20.324 A^3/atom

The structure in extended XYZ format:
```
5
Lattice="4.450 0.000 0.000 0.000 4.450 0.000 0.000 0.000 5.132" Properties=species:S:1:pos:R:3 pbc="T T T"
Fe 0.000 0.000 0.000
Pt 0.000 2.225 2.566
Pt 2.225 0.000 2.566
S 2.225 2.225 2.566
Cl 2.225 2.225 0.000
```



(3)
Here is a relaxed FePtSCl2 crystal from Alexandria via LeMat-Bulk. Energies are from GGA-PBE.

Summary:
- Excess energy over the best structure of this formula in the dataset: 74 meV per atom
- Calculated volume: 18.306 A^3/atom

The structure in extended XYZ format:
```
5
Lattice="4.648 0.000 0.000 0.000 4.648 0.000 0.000 0.000 4.236" Properties=species:S:1:pos:R:3 pbc="T T T"
Fe 0.000 0.000 0.000
Pt 2.324 2.324 2.118
S 0.000 0.000 2.118
Cl 0.000 2.324 0.000
Cl 2.324 0.000 0.000
```



(4)
Here is a relaxed FePtSCl2 crystal from Alexandria via LeMat-Bulk. Energies are from GGA-PBE.

Summary:
- Excess energy over the best structure of this formula in the dataset: 0 meV per atom
- Calculated volume: 22.253 A^3/atom

The structure in extended XYZ format:
```
5
Lattice="4.831 0.000 0.000 0.000 4.831 0.000 0.000 0.000 4.768" Properties=species:S:1:pos:R:3 pbc="T T T"
Fe 0.000 0.000 0.000
Pt 2.415 2.415 2.384
S 2.415 2.415 0.000
Cl 0.000 2.415 2.384
Cl 2.415 0.000 2.384
```



(5)
Here is a relaxed FePtS2Cl crystal from Alexandria via LeMat-Bulk. Energies are from GGA-PBE.

Summary:
- Excess energy over the best structure of this formula in the dataset: 114 meV per atom
- Calculated volume: 21.447 A^3/atom

The structure in extended XYZ format:
```
5
Lattice="4.724 0.000 0.000 0.000 4.724 0.000 0.000 0.000 4.806" Properties=species:S:1:pos:R:3 pbc="T T T"
Fe 0.000 0.000 0.000
Pt 2.362 2.362 2.403
S 0.000 2.362 2.403
S 2.362 0.000 2.403
Cl 2.362 2.362 0.000
```



(6)
Here is a relaxed FePtS2Cl crystal from Alexandria via LeMat-Bulk. Energies are from GGA-PBE.

Summary:
- Excess energy over the best structure of this formula in the dataset: 0 meV per atom
- Calculated volume: 18.600 A^3/atom

The structure in extended XYZ format:
```
5
Lattice="4.120 0.000 0.000 0.000 4.120 0.000 0.000 0.000 5.480" Properties=species:S:1:pos:R:3 pbc="T T T"
Fe 0.000 0.000 0.000
Pt 0.000 0.000 2.740
S 0.000 2.060 0.000
S 2.060 0.000 0.000
Cl 2.060 2.060 2.740
```



(7)
Here is a relaxed Tl2FePtCl6 crystal from Alexandria via LeMat-Bulk. Energies are from GGA-PBE.

Summary:
- Calculated volume: 25.695 A^3/atom

The structure in extended XYZ format:
```
20
Lattice="3.529 2.037 11.915 -3.529 2.037 11.915 0.000 -4.075 11.915" Properties=species:S:1:pos:R:3 pbc="T T T"
Tl 0.000 0.000 4.149
Tl 0.000 0.000 10.564
Tl 0.000 0.000 25.179
Tl 0.000 0.000 31.594
Fe 0.000 0.000 14.824
Fe 0.000 0.000 20.920
Pt 0.000 0.000 0.000
Pt 0.000 0.000 17.872
Cl -1.710 -0.987 16.246
Cl 0.000 -1.993 13.369
Cl -1.726 0.996 13.369
Cl -1.726 -0.996 22.374
Cl 0.000 -1.974 19.497
Cl -1.710 0.987 19.497
Cl 1.710 -0.987 16.246
Cl 0.000 1.974 16.246
Cl 1.726 0.996 13.369
Cl 1.726 -0.996 22.374
Cl 0.000 1.993 22.374
Cl 1.710 0.987 19.497
```



(8)
Here is a relaxed TlFe2PtCl8 crystal from Alexandria via LeMat-Bulk. Energies are from GGA-PBE.

Summary:
- Calculated volume: 29.849 A^3/atom

The structure in extended XYZ format:
```
12
Lattice="6.948 -3.299 0.000 6.948 3.299 0.000 -4.109 0.000 7.813" Properties=species:S:1:pos:R:3 pbc="T T T"
Tl 0.000 0.000 0.000
Fe -0.026 0.000 5.094
Fe 9.814 0.000 2.718
Pt 4.894 0.000 3.906
Cl 4.385 1.605 2.298
Cl 0.804 0.000 3.064
Cl 5.403 1.605 5.514
Cl 1.407 0.000 6.749
Cl 8.382 0.000 1.064
Cl 4.385 -1.605 2.298
Cl 8.984 0.000 4.749
Cl 5.403 -1.605 5.514
```



ΔE_f (raw): 622, 758, 612, 538, 670, 556, -627, -681 (meV/atom)
N(E_F): 4.61, 9.20, 9.70, 9.00, 6.81, 6.36, 7.06, 5.22 (states/eV/f.u.)